1.
First-principles (PBE) data for a geometry-optimized BaCoCl structure, as listed in Alexandria.

Unit cell a=7.073 b=7.073 c=7.073 alpha=146.92 beta=146.92 gamma=47.49
Element x y z (fractional)
Ba  0.000  0.000  0.000
Co  0.654  0.654  0.000
Cl  0.390  0.390  0.000

Calculated values
- V (Å³ per cell) = 105
- final energy (eV/atom) = -3.7924
- formation energy without anion corrections (eV per atom) = -0.17
- ΔE to the lowest computed polymorph (kcal/mol of atoms) = 16.41

2.
First-principles (PBE) data for a geometry-optimized ScNb3Pd structure, as listed in Alexandria.

Unit cell a=4.704 b=4.704 c=4.704 alpha=90.00 beta=90.00 gamma=90.00
Element x y z (fractional)
Sc  0.000  0.000  0.000
Nb  0.000  0.000  0.500
Nb  0.000  0.500  0.000
Nb  0.500  0.000  0.000
Pd  0.500  0.500  0.500

Calculated values
- V (Å³ per cell) = 104
- final energy (eV/atom) = -6.7472
- ΔE to the lowest computed polymorph (kcal/mol of atoms) = 12.97
- E_form (meV/atom) = 1600

3.
First-principles (PBE) data for a geometry-optimized Ta2CoBr structure, as listed in Alexandria.

Unit cell a=4.575 b=4.575 c=4.575 alpha=60.00 beta=60.00 gamma=60.00
Element x y z (fractional)
Ta  0.000  0.000  0.000
Ta  0.250  0.250  0.250
Co  0.500  0.500  0.500
Br  0.750  0.750  0.750

Calculated values
- V (Å³ per cell) = 68
- final energy (eV/atom) = -7.1245
- formation energy without anion corrections (eV per atom) = 1.00
- ΔE to the lowest computed polymorph (kcal/mol of atoms) = 21.00

4.
First-principles (PBE) data for a geometry-optimized Zr4AlSb structure, as listed in Alexandria.

Unit cell a=5.783 b=5.783 c=5.783 alpha=60.00 beta=60.00 gamma=60.00
Element x y z (fractional)
Zr  0.124  0.124  0.124
Zr  0.124  0.124  0.628
Zr  0.124  0.628  0.124
Zr  0.628  0.124  0.124
Al  0.750  0.750  0.750
Sb  0.500  0.500  0.500

Calculated values
- V (Å³ per cell) = 137
- final energy (eV/atom) = -6.8664
- formation energy without anion corrections (eV per atom) = 0.14

5.
First-principles (PBE) data for a geometry-optimized Sr2DyHg6 structure, as listed in Alexandria.

Unit cell a=6.947 b=6.947 c=6.315 alpha=90.00 beta=90.00 gamma=120.00
Element x y z (fractional)
Sr  0.333  0.667  0.343
Sr  0.667  0.333  0.657
Dy  0.000  0.000  0.500
Hg  0.183  0.366  0.825
Hg  0.183  0.817  0.825
Hg  0.366  0.183  0.175
Hg  0.634  0.817  0.825
Hg  0.817  0.183  0.175
Hg  0.817  0.634  0.175

Calculated values
- V (Å³ per cell) = 264
- final energy (eV/atom) = -1.4696
- E_form (meV/atom) = -383

6.
First-principles (PBE) data for a geometry-optimized AgSbAu structure, as listed in Alexandria.

Unit cell a=6.766 b=6.764 c=3.146 alpha=76.59 beta=76.52 gamma=26.89
Element x y z (fractional)
Ag  0.000  0.000  0.000
Sb  0.677  0.677  0.323
Au  0.352  0.352  0.648

Calculated values
- V (Å³ per cell) = 63
- final energy (eV/atom) = -3.3295
- formation energy without anion corrections (eV per atom) = 0.09
- ΔE to the lowest computed polymorph (kcal/mol of atoms) = 2.44

7.
First-principles (PBE) data for a geometry-optimized LaEr2TmSc structure, as listed in Alexandria.

Unit cell a=3.543 b=5.425 c=8.336 alpha=90.00 beta=90.00 gamma=90.00
Element x y z (fractional)
La  0.000  0.000  0.000
Er  0.000  0.500  0.315
Er  0.000  0.500  0.685
Tm  0.500  0.000  0.500
Sc  0.500  0.500  0.000

Calculated values
- V (Å³ per cell) = 160
- final energy (eV/atom) = -4.7570
- E_form (meV/atom) = 214

8.
First-principles (PBE) data for a geometry-optimized YTh2Co structure, as listed in Alexandria.

Unit cell a=6.145 b=6.145 c=9.834 alpha=90.00 beta=90.00 gamma=144.98
Element x y z (fractional)
Y  0.088  0.912  0.750
Y  0.912  0.088  0.250
Th  0.362  0.638  0.567
Th  0.362  0.638  0.933
Th  0.638  0.362  0.067
Th  0.638  0.362  0.433
Co  0.200  0.800  0.250
Co  0.800  0.200  0.750

Calculated values
- V (Å³ per cell) = 213
- final energy (eV/atom) = -7.2849
- ΔE to the lowest computed polymorph (kcal/mol of atoms) = 0.00
- E_form (meV/atom) = -182

9.
First-principles (PBE) data for a geometry-optimized Cd2In2Ge structure, as listed in Alexandria.

Unit cell a=8.535 b=8.535 c=8.535 alpha=152.79 beta=152.79 gamma=38.87
Element x y z (fractional)
Cd  0.250  0.750  0.500
Cd  0.750  0.250  0.500
In  0.094  0.094  0.000
In  0.906  0.906  0.000
Ge  0.500  0.500  0.000

Calculated values
- V (Å³ per cell) = 130
- final energy (eV/atom) = -2.1496
- ΔE to the lowest computed polymorph (kcal/mol of atoms) = 1.59
- E_form (meV/atom) = 235

10.
First-principles (PBE) data for a geometry-optimized Cs3IBrCl structure, as listed in Alexandria.

Unit cell a=10.252 b=5.166 c=13.214 alpha=90.00 beta=103.45 gamma=90.00
Element x y z (fractional)
Cs  0.012  0.250  0.331
Cs  0.329  0.250  0.060
Cs  0.385  0.750  0.620
Cs  0.615  0.250  0.380
Cs  0.671  0.750  0.940
Cs  0.988  0.750  0.669
I  0.303  0.750  0.288
I  0.697  0.250  0.712
Br  0.309  0.750  0.878
Br  0.691  0.250  0.122
Cl  0.167  0.250  0.586
Cl  0.833  0.750  0.414

Calculated values
- V (Å³ per cell) = 681
- final energy (eV/atom) = -2.9808
- formation energy without anion corrections (eV per atom) = -1.71

11.
First-principles (PBE) data for a geometry-optimized MnTeCl2 structure, as listed in Alexandria.

Unit cell a=5.069 b=5.069 c=5.069 alpha=60.00 beta=60.00 gamma=60.00
Element x y z (fractional)
Mn  0.000  0.000  0.000
Te  0.500  0.500  0.500
Cl  0.250  0.250  0.250
Cl  0.750  0.750  0.750

Calculated values
- V (Å³ per cell) = 92
- final energy (eV/atom) = -3.7356
- formation energy without anion corrections (eV per atom) = 0.27
- ΔE to the lowest computed polymorph (kcal/mol of atoms) = 19.99

12.
First-principles (PBE) data for a geometry-optimized LiInSnPb structure, as listed in Alexandria.

Unit cell a=5.287 b=5.287 c=5.287 alpha=60.00 beta=60.00 gamma=60.00
Element x y z (fractional)
Li  0.000  0.000  0.000
In  0.500  0.500  0.500
Sn  0.250  0.250  0.250
Pb  0.750  0.750  0.750

Calculated values
- V (Å³ per cell) = 104
- final energy (eV/atom) = -3.1634
- ΔE to the lowest computed polymorph (kcal/mol of atoms) = 1.42
- E_form (meV/atom) = -73

13.
First-principles (PBE) data for a geometry-optimized Ce2Tm2Sn7 structure, as listed in Alexandria.

Unit cell a=7.005 b=7.005 c=7.301 alpha=90.00 beta=90.00 gamma=100.61
Element x y z (fractional)
Ce  0.211  0.789  0.000
Ce  0.789  0.211  0.000
Tm  0.311  0.311  0.500
Tm  0.689  0.689  0.500
Sn  0.000  0.000  0.304
Sn  0.000  0.000  0.696
Sn  0.000  0.500  0.300
Sn  0.000  0.500  0.700
Sn  0.500  0.000  0.300
Sn  0.500  0.000  0.700
Sn  0.500  0.500  0.000

Calculated values
- V (Å³ per cell) = 352
- final energy (eV/atom) = -4.5785
- E_form (meV/atom) = -139

14.
First-principles (PBE) data for a geometry-optimized Na4AcAu2 structure, as listed in Alexandria.

Unit cell a=10.457 b=10.457 c=4.418 alpha=90.00 beta=90.00 gamma=155.65
Element x y z (fractional)
Na  0.172  0.828  0.000
Na  0.327  0.673  0.500
Na  0.673  0.327  0.500
Na  0.828  0.172  0.000
Ac  0.500  0.500  0.000
Au  0.069  0.931  0.500
Au  0.931  0.069  0.500

Calculated values
- V (Å³ per cell) = 199
- final energy (eV/atom) = -2.5986
- E_form (meV/atom) = -322

15.
First-principles (PBE) data for a geometry-optimized YAl structure, as listed in Alexandria.

Unit cell a=7.523 b=7.523 c=7.523 alpha=93.33 beta=93.33 gamma=152.10
Element x y z (fractional)
Y  0.158  0.158  0.317
Y  0.158  0.842  0.000
Y  0.842  0.158  0.000
Y  0.842  0.842  0.683
Al  0.145  0.500  0.645
Al  0.500  0.145  0.645
Al  0.500  0.855  0.355
Al  0.855  0.500  0.355

Calculated values
- V (Å³ per cell) = 193
- final energy (eV/atom) = -5.2533
- E_form (meV/atom) = -150

16.
First-principles (PBE) data for a geometry-optimized RbNaZn2Hg structure, as listed in Alexandria.

Unit cell a=5.206 b=5.206 c=5.832 alpha=90.00 beta=90.00 gamma=90.00
Element x y z (fractional)
Rb  0.000  0.000  0.000
Na  0.500  0.500  0.000
Zn  0.000  0.500  0.500
Zn  0.500  0.000  0.500
Hg  0.500  0.500  0.500

Calculated values
- V (Å³ per cell) = 158
- final energy (eV/atom) = -0.9263
- E_form (meV/atom) = 101

17.
First-principles (PBE) data for a geometry-optimized ThAl2Ag2 structure, as listed in Alexandria.

Unit cell a=6.175 b=6.175 c=7.326 alpha=101.20 beta=101.20 gamma=122.41
Element x y z (fractional)
Th  0.125  0.875  0.750
Th  0.875  0.125  0.250
Al  0.274  0.524  0.050
Al  0.476  0.726  0.450
Al  0.524  0.274  0.550
Al  0.726  0.476  0.950
Ag  0.165  0.835  0.250
Ag  0.415  0.585  0.750
Ag  0.585  0.415  0.250
Ag  0.835  0.165  0.750

Calculated values
- V (Å³ per cell) = 216
- final energy (eV/atom) = -4.2743
- ΔE to the lowest computed polymorph (kcal/mol of atoms) = 3.42
- E_form (meV/atom) = -153

18.
First-principles (PBE) data for a geometry-optimized SrScOs2 structure, as listed in Alexandria.

Unit cell a=9.687 b=9.687 c=9.687 alpha=150.74 beta=150.74 gamma=41.86
Element x y z (fractional)
Sr  0.000  0.000  0.000
Sr  0.750  0.250  0.500
Sc  0.250  0.750  0.500
Sc  0.500  0.500  0.000
Os  0.360  0.125  0.735
Os  0.375  0.640  0.765
Os  0.390  0.625  0.265
Os  0.875  0.610  0.235

Calculated values
- V (Å³ per cell) = 217
- final energy (eV/atom) = -6.9586
- E_form (meV/atom) = 660

19.
First-principles (PBE) data for a geometry-optimized NdFeCo2 structure, as listed in Alexandria.

Unit cell a=5.464 b=5.464 c=5.464 alpha=43.35 beta=43.35 gamma=43.35
Element x y z (fractional)
Nd  0.000  0.000  0.000
Fe  0.500  0.500  0.500
Co  0.193  0.193  0.193
Co  0.807  0.807  0.807

Calculated values
- V (Å³ per cell) = 70
- final energy (eV/atom) = -6.8808
- E_form (meV/atom) = -20

20.
First-principles (PBE) data for a geometry-optimized Y3Sc4Se8 structure, as listed in Alexandria.

Unit cell a=7.931 b=7.931 c=7.899 alpha=119.85 beta=119.85 gamma=90.04
Element x y z (fractional)
Y  0.000  0.000  0.000
Y  0.000  0.500  0.500
Y  0.500  0.000  0.500
Sc  0.000  0.500  0.000
Sc  0.500  0.000  0.000
Sc  0.500  0.500  0.000
Sc  0.500  0.500  0.500
Se  0.252  0.748  0.500
Se  0.255  0.745  0.000
Se  0.256  0.256  0.003
Se  0.256  0.256  0.510
Se  0.744  0.744  0.490
Se  0.744  0.744  0.997
Se  0.745  0.255  0.000
Se  0.748  0.252  0.500

Calculated values
- V (Å³ per cell) = 353
- final energy (eV/atom) = -6.5717
- formation energy without anion corrections (eV per atom) = -1.73